Computed, not measured: an optimized crystal structure of CaIn6Ga at the PBE level of DFT.

Output
Formation enthalpy at 0 K   -0.137 eV/atom
DOS at the Fermi energy   4.736 states/eV/f.u.
E_tot   -22.558 eV/f.u.
Total magnetization   0.00 Bohr magnetons per cell

```
data_CaIn6Ga
_chemical_formula_sum 'Ca2 In12 Ga2'
_symmetry_space_group_name_H-M 'C m m m'
_symmetry_Int_Tables_number 65
_symmetry_space_group_name_Hall '-C 2 2'
_cell_length_a 9.8105
_cell_length_b 9.8297
_cell_length_c 4.3182
_cell_angle_alpha 90.00
_cell_angle_beta 90.00
_cell_angle_gamma 90.00
loop_
_atom_site_label
_atom_site_type_symbol
_atom_site_fract_x
_atom_site_fract_y
_atom_site_fract_z
_atom_site_occupancy
Ca1 Ca 0.0000 0.0000 0.0000 1
In1 In 0.0000 0.2656 0.5000 1
In2 In 0.2340 0.5000 0.5000 1
In3 In 0.2500 0.2500 0.0000 1
Ga1 Ga 0.0000 0.5000 0.0000 1
```

---

Computed, not measured: an optimized crystal structure of PrTm2Si6 at the PBE level of DFT.

Output
Formation energy from raw total energies   -0.50 eV/atom
DOS at the Fermi energy   4.320 states/eV/f.u.
E_tot   -50.740 eV/f.u.
Total magnetization   0.00 Bohr magnetons per cell

```
data_PrTm2Si6
_chemical_formula_sum 'Pr1 Tm2 Si6'
_symmetry_space_group_name_H-M 'P 6/m m m'
_symmetry_Int_Tables_number 191
_symmetry_space_group_name_Hall '-P 6 2'
_cell_length_a 7.1257
_cell_length_b 7.1257
_cell_length_c 3.9609
_cell_angle_alpha 90.00
_cell_angle_beta 90.00
_cell_angle_gamma 120.00
loop_
_atom_site_label
_atom_site_type_symbol
_atom_site_fract_x
_atom_site_fract_y
_atom_site_fract_z
_atom_site_occupancy
Pr1 Pr 0.0000 0.0000 0.0000 1
Tm1 Tm 0.3333 0.6667 0.0000 1
Si1 Si 0.0000 0.3374 0.5000 1
```

---

Computed, not measured: an optimized crystal structure of Tc3GeIr at the PBE level of DFT.

Output
Formation enthalpy at 0 K   1.729 eV/atom
DOS at the Fermi energy   7.789 states/eV/f.u.
E_tot   -35.931 eV/f.u.
Excess energy over the best structure of this formula in the dataset   253 meV per atom
Total magnetization   2.54 Bohr magnetons per cell

```
data_Tc3GeIr
_chemical_formula_sum 'Tc3 Ge1 Ir1'
_symmetry_space_group_name_H-M 'P m -3 m'
_symmetry_Int_Tables_number 221
_symmetry_space_group_name_Hall '-P 4 2 3'
_cell_length_a 4.7170
_cell_length_b 4.7170
_cell_length_c 4.7170
_cell_angle_alpha 90.00
_cell_angle_beta 90.00
_cell_angle_gamma 90.00
loop_
_atom_site_label
_atom_site_type_symbol
_atom_site_fract_x
_atom_site_fract_y
_atom_site_fract_z
_atom_site_occupancy
Tc1 Tc 0.0000 0.0000 0.5000 1
Ge1 Ge 0.5000 0.5000 0.5000 1
Ir1 Ir 0.0000 0.0000 0.0000 1
```

---

Computed, not measured: an optimized crystal structure of TmTh4 at the PBE level of DFT.

Output
Formation enthalpy at 0 K   1.017 eV/atom
DOS at the Fermi energy   7.647 states/eV/f.u.
E_tot   -29.068 eV/f.u.
Excess energy over the best structure of this formula in the dataset   998 meV per atom
Total magnetization   0.00 Bohr magnetons per cell

```
data_TmTh4
_chemical_formula_sum 'Tm1 Th4'
_symmetry_space_group_name_H-M 'P m -3 m'
_symmetry_Int_Tables_number 221
_symmetry_space_group_name_Hall '-P 4 2 3'
_cell_length_a 5.6816
_cell_length_b 5.6816
_cell_length_c 5.6816
_cell_angle_alpha 90.00
_cell_angle_beta 90.00
_cell_angle_gamma 90.00
loop_
_atom_site_label
_atom_site_type_symbol
_atom_site_fract_x
_atom_site_fract_y
_atom_site_fract_z
_atom_site_occupancy
Tm1 Tm 0.0000 0.0000 0.0000 1
Th1 Th 0.0000 0.0000 0.5000 1
Th2 Th 0.5000 0.5000 0.5000 1
```